(1)
Compound: Li2ThPb2
Source: Alexandria via LeMat-Bulk
Functional: GGA-PBE
Structure: relaxed

abc: 4.7086 4.7086 7.1649
angles: 108.68 108.68 60.30
Closest atoms and distances in Å follow each position.
Element x y z (fractional)
Li 0.1942 0.1942 0.0794  3 Pb 2.91-2.92, 3 Li 2.91-2.94
Li 0.8058 0.8058 0.9206  3 Pb 2.91-2.92, 3 Li 2.91-2.94
Th 0.0000 0.0000 0.5000  6 Pb 3.25
Pb 0.4205 0.4205 0.7668  3 Li 2.91-2.92, 1 Pb 3.10, 3 Th 3.25
Pb 0.5795 0.5795 0.2332  3 Li 2.91-2.92, 1 Pb 3.10, 3 Th 3.25

Properties
Space group: C2/m
Polymorph energy (0 for the lowest one) in meV per atom: 0

=====

(2)
Compound: Tb2PmPr6Sm
Source: Alexandria via LeMat-Bulk
Functional: GGA-PBE
Structure: relaxed

abc: 9.1197 9.1197 9.2984
angles: 91.32 91.32 114.90
Closest atoms and distances in Å follow each position.
Element x y z (fractional)
Tb 0.2011 0.2970 0.0656  2 Pm 3.48-3.74, 7 Pr 3.49-3.79, 1 Sm 3.49
Tb 0.2970 0.2011 0.5656  2 Pm 3.48-3.74, 7 Pr 3.49-3.79, 1 Sm 3.49
Tb 0.7030 0.7989 0.4344  2 Pm 3.48-3.74, 7 Pr 3.49-3.79, 1 Sm 3.49
Tb 0.7989 0.7030 0.9344  2 Pm 3.48-3.74, 7 Pr 3.49-3.79, 1 Sm 3.49
Pm 0.0615 0.9385 0.2500  6 Pr 3.46-3.70, 4 Tb 3.48-3.74
Pm 0.9385 0.0615 0.7500  6 Pr 3.46-3.70, 4 Tb 3.48-3.74
Pr 0.0253 0.4671 0.8206  3 Pr 3.40-3.51, 1 Sm 3.44, 1 Pm 3.48, 2 Tb 3.50-3.71
Pr 0.0752 0.7731 0.5781  4 Pr 3.45-3.62, 2 Pm 3.46-3.70, 2 Tb 3.57-3.72
Pr 0.2269 0.9248 0.9219  4 Pr 3.45-3.62, 2 Pm 3.46-3.70, 2 Tb 3.57-3.72
Pr 0.2869 0.5640 0.4032  4 Pr 3.26-3.62, 1 Sm 3.42, 1 Tb 3.49
Pr 0.4360 0.7131 0.0968  4 Pr 3.26-3.62, 1 Sm 3.42, 1 Tb 3.49
Pr 0.4671 0.0253 0.3206  3 Pr 3.40-3.51, 1 Sm 3.44, 1 Pm 3.48, 2 Tb 3.50-3.71
Pr 0.5329 0.9747 0.6794  3 Pr 3.40-3.51, 1 Sm 3.44, 1 Pm 3.48, 2 Tb 3.50-3.71
Pr 0.5640 0.2869 0.9032  4 Pr 3.26-3.62, 1 Sm 3.42, 1 Tb 3.49
Pr 0.7131 0.4360 0.5968  4 Pr 3.26-3.62, 1 Sm 3.42, 1 Tb 3.49
Pr 0.7731 0.0752 0.0781  4 Pr 3.45-3.62, 2 Pm 3.46-3.70, 2 Tb 3.57-3.72
Pr 0.9248 0.2269 0.4219  4 Pr 3.45-3.62, 2 Pm 3.46-3.70, 2 Tb 3.57-3.72
Pr 0.9747 0.5329 0.1794  3 Pr 3.40-3.51, 1 Sm 3.44, 1 Pm 3.48, 2 Tb 3.50-3.71
Sm 0.4255 0.5745 0.7500  6 Pr 3.42-3.66, 2 Tb 3.49
Sm 0.5745 0.4255 0.2500  6 Pr 3.42-3.66, 2 Tb 3.49

Properties
Space group: C2/c

=====

(3)
Compound: Ta6Nb5Sb
Source: Alexandria via LeMat-Bulk
Functional: GGA-PBE
Structure: relaxed

abc: 7.2630 7.2630 4.6904
angles: 108.78 108.78 87.12
Closest atoms and distances in Å follow each position.
Element x y z (fractional)
Ta 0.0768 0.4154 0.2458  3 Nb 2.81-2.91, 4 Ta 2.85-2.89, 1 Sb 2.93
Ta 0.2530 0.2530 0.7529  4 Ta 2.89, 4 Nb 2.90-2.91
Ta 0.4154 0.0768 0.2458  3 Nb 2.81-2.91, 4 Ta 2.85-2.89, 1 Sb 2.93
Ta 0.5846 0.9232 0.7542  3 Nb 2.81-2.91, 4 Ta 2.85-2.89, 1 Sb 2.93
Ta 0.7470 0.7470 0.2471  4 Ta 2.89, 4 Nb 2.90-2.91
Ta 0.9232 0.5846 0.7542  3 Nb 2.81-2.91, 4 Ta 2.85-2.89, 1 Sb 2.93
Nb 0.0000 0.0000 0.0000  4 Ta 2.87, 4 Nb 2.88
Nb 0.1662 0.8338 0.5000  4 Nb 2.84-2.88, 4 Ta 2.91
Nb 0.3271 0.6729 0.0000  4 Ta 2.81-2.90, 2 Nb 2.84, 2 Sb 2.91
Nb 0.6729 0.3271 0.0000  4 Ta 2.81-2.90, 2 Nb 2.84, 2 Sb 2.91
Nb 0.8338 0.1662 0.5000  4 Nb 2.84-2.88, 4 Ta 2.91
Sb 0.5000 0.5000 0.5000  4 Nb 2.91, 4 Ta 2.93

Properties
Space group: C2/m
Energy relative to the elements, uncorrected in kJ/mol of atoms: -2

=====

(4)
Compound: SrMn2H2
Source: Alexandria via LeMat-Bulk
Functional: GGA-PBE
Structure: relaxed

abc: 6.2058 6.2058 6.2058
angles: 145.23 145.23 50.00
Closest atoms and distances in Å follow each position.
Element x y z (fractional)
Sr 0.0000 0.0000 0.0000  2 H 2.60
Mn 0.2500 0.7500 0.5000  4 H 1.87
Mn 0.7500 0.2500 0.5000  4 H 1.87
H 0.2307 0.2307 0.0000  4 Mn 1.87
H 0.7693 0.7693 0.0000  4 Mn 1.87

Properties
Space group: I4/mmm
Polymorph energy (0 for the lowest one) in meV per atom: 0

=====

(5)
Compound: MgBi2Pb
Source: Alexandria via LeMat-Bulk
Functional: GGA-PBE
Structure: relaxed

abc: 8.4484 8.4484 8.4484
angles: 132.10 132.10 70.07
Closest atoms and distances in Å follow each position.
Element x y z (fractional)
Mg 0.0000 0.0000 0.0000  4 Bi 2.92
Mg 0.7500 0.2500 0.5000  4 Bi 2.92
Bi 0.1090 0.6250 0.9840  2 Mg 2.92, 2 Pb 3.04
Bi 0.3750 0.3590 0.4840  2 Mg 2.92, 2 Pb 3.04
Bi 0.6410 0.1250 0.0160  2 Mg 2.92, 2 Pb 3.04
Bi 0.8750 0.8910 0.5160  2 Mg 2.92, 2 Pb 3.04
Pb 0.2500 0.7500 0.5000  4 Bi 3.04
Pb 0.5000 0.5000 0.0000  4 Bi 3.04

Properties
Space group: I-42d

=====

(6)
Compound: Pr6TmIn5
Source: Alexandria via LeMat-Bulk
Functional: GGA-PBE
Structure: relaxed

abc: 9.3206 9.3206 9.3206
angles: 148.28 120.96 68.59
Closest atoms and distances in Å follow each position.
Element x y z (fractional)
Pr 0.0694 0.3292 0.7402  7 In 3.37-3.50, 4 Pr 3.53-3.66, 1 Tm 3.55
Pr 0.2355 0.0000 0.2355  6 In 3.34-3.41, 2 Tm 3.52, 4 Pr 3.66
Pr 0.4110 0.6708 0.7402  7 In 3.37-3.50, 4 Pr 3.53-3.66, 1 Tm 3.55
Pr 0.5890 0.3292 0.2598  7 In 3.37-3.50, 4 Pr 3.53-3.66, 1 Tm 3.55
Pr 0.7645 0.0000 0.7645  6 In 3.34-3.41, 2 Tm 3.52, 4 Pr 3.66
Pr 0.9306 0.6708 0.2598  7 In 3.37-3.50, 4 Pr 3.53-3.66, 1 Tm 3.55
Tm 0.5000 0.5000 0.0000  4 In 3.46, 8 Pr 3.52-3.55
In 0.0000 0.5000 0.5000  8 Pr 3.34-3.43, 4 In 3.67
In 0.1713 0.1713 0.0000  8 Pr 3.37-3.41, 4 In 3.67-3.72
In 0.3476 0.8476 0.5000  8 Pr 3.38-3.50, 2 Tm 3.46, 2 In 3.72
In 0.6524 0.1524 0.5000  8 Pr 3.38-3.50, 2 Tm 3.46, 2 In 3.72
In 0.8287 0.8287 0.0000  8 Pr 3.37-3.41, 4 In 3.67-3.72

Properties
Space group: Immm

=====

(7)
Compound: AlGe2Ru2
Source: Alexandria via LeMat-Bulk
Functional: GGA-PBE
Structure: relaxed

abc: 7.0407 7.0407 3.0702
angles: 90.00 90.00 90.00
Closest atoms and distances in Å follow each position.
Element x y z (fractional)
Al 0.0000 0.0000 0.0000  4 Ru 2.68
Al 0.5000 0.5000 0.0000  4 Ru 2.68
Ge 0.1475 0.3525 0.5000  6 Ru 2.52-2.60
Ge 0.3525 0.8525 0.5000  6 Ru 2.52-2.60
Ge 0.6475 0.1475 0.5000  6 Ru 2.52-2.60
Ge 0.8525 0.6475 0.5000  6 Ru 2.52-2.60
Ru 0.1514 0.6514 0.0000  6 Ge 2.52-2.60, 2 Al 2.68
Ru 0.3486 0.1514 0.0000  6 Ge 2.52-2.60, 2 Al 2.68
Ru 0.6514 0.8486 0.0000  6 Ge 2.52-2.60, 2 Al 2.68
Ru 0.8486 0.3486 0.0000  6 Ge 2.52-2.60, 2 Al 2.68

Properties
Space group: P4/mbm

=====

(8)
Compound: Sr3LiRh
Source: Alexandria via LeMat-Bulk
Functional: GGA-PBE
Structure: relaxed

abc: 4.4385 7.0033 11.7830
angles: 99.76 90.01 90.02
Closest atoms and distances in Å follow each position.
Element x y z (fractional)
Sr 0.0000 0.0000 0.0000  2 Rh 3.16, 3 Li 3.34-3.41
Sr 0.0004 0.0935 0.3492  3 Rh 3.03-3.32, 2 Li 3.33
Sr 0.0010 0.5393 0.6750  1 Rh 2.88
Sr 0.5000 0.4488 0.9662  1 Rh 3.07, 3 Li 3.35
Sr 0.5014 0.0166 0.6518  2 Rh 2.98
Sr 0.5008 0.5780 0.3906  2 Rh 2.97
Li 0.4997 0.8401 0.1743  1 Rh 2.65
Li 0.9994 0.4389 0.1778  2 Rh 2.70-2.71
Rh 0.0015 0.8068 0.5148  6 Sr 2.88-3.03
Rh 0.5002 0.2156 0.1644  3 Li 2.65-2.71

Properties
Space group: P1
Polymorph energy (0 for the lowest one) in meV per atom: 24

=====

(9)
Compound: Cd5PdPt4
Source: Alexandria via LeMat-Bulk
Functional: GGA-PBE
Structure: relaxed

abc: 3.0262 3.0262 19.1405
angles: 90.00 90.00 90.00
Closest atoms and distances in Å follow each position.
Element x y z (fractional)
Cd 0.0000 0.0000 0.0000  8 Pt 2.88, 4 Cd 3.03
Cd 0.0000 0.0000 0.2007  8 Pt 2.87-2.88, 4 Cd 3.03
Cd 0.0000 0.0000 0.4010  4 Pd 2.86, 4 Pt 2.87, 4 Cd 3.03
Cd 0.0000 0.0000 0.5990  4 Pd 2.86, 4 Pt 2.87, 4 Cd 3.03
Cd 0.0000 0.0000 0.7993  8 Pt 2.87-2.88, 4 Cd 3.03
Pd 0.5000 0.5000 0.5000  8 Cd 2.86, 4 Pd 3.03
Pt 0.5000 0.5000 0.1005  8 Cd 2.87-2.88, 4 Pt 3.03
Pt 0.5000 0.5000 0.3014  8 Cd 2.87-2.88, 4 Pt 3.03
Pt 0.5000 0.5000 0.6986  8 Cd 2.87-2.88, 4 Pt 3.03
Pt 0.5000 0.5000 0.8995  8 Cd 2.87-2.88, 4 Pt 3.03

Properties
Space group: P4/mmm

=====

(10)
Compound: Mn2SiNi
Source: Alexandria via LeMat-Bulk
Functional: GGA-PBE
Structure: relaxed

abc: 4.3241 4.3241 4.3241
angles: 130.57 130.57 72.50
Closest atoms and distances in Å follow each position.
Element x y z (fractional)
Mn 0.0000 0.0000 0.0000  4 Mn 2.51, 4 Si 2.51, 4 Ni 2.56
Mn 0.7500 0.2500 0.5000  4 Ni 2.51, 4 Mn 2.51, 4 Si 2.56
Si 0.2500 0.7500 0.5000  4 Ni 2.51, 8 Mn 2.51-2.56
Ni 0.5000 0.5000 0.0000  8 Mn 2.51-2.56, 4 Si 2.51

Properties
Space group: I-4m2
Energy relative to the elements, uncorrected in kJ/mol of atoms: -29

=====

(11)
Compound: Tb6Pm2SmY3
Source: Alexandria via LeMat-Bulk
Functional: GGA-PBE
Structure: relaxed

abc: 6.2087 6.2087 11.8790
angles: 94.98 94.98 119.97
Closest atoms and distances in Å follow each position.
Element x y z (fractional)
Tb 0.0843 0.4175 0.7518  3 Y 3.57, 6 Tb 3.58-3.59, 2 Pm 3.60, 1 Sm 3.60
Tb 0.2489 0.2489 0.2481  3 Y 3.56-3.57, 6 Tb 3.58-3.59, 1 Sm 3.60, 2 Pm 3.60
Tb 0.4175 0.0843 0.7518  3 Y 3.57, 6 Tb 3.58-3.59, 2 Pm 3.60, 1 Sm 3.60
Tb 0.5825 0.9157 0.2482  3 Y 3.57, 6 Tb 3.58-3.59, 2 Pm 3.60, 1 Sm 3.60
Tb 0.7511 0.7511 0.7519  3 Y 3.56-3.57, 6 Tb 3.58-3.59, 1 Sm 3.60, 2 Pm 3.60
Tb 0.9157 0.5825 0.2482  3 Y 3.57, 6 Tb 3.58-3.59, 2 Pm 3.60, 1 Sm 3.60
Pm 0.3334 0.6666 0.5000  3 Pm 3.58-3.59, 3 Sm 3.58-3.59, 6 Tb 3.60
Pm 0.6666 0.3334 0.5000  3 Pm 3.58-3.59, 3 Sm 3.58-3.59, 6 Tb 3.60
Sm 0.0000 0.0000 0.5000  6 Pm 3.58-3.59, 6 Tb 3.60
Y 0.1666 0.8334 0.0000  6 Tb 3.56-3.57, 6 Y 3.58-3.59
Y 0.5000 0.5000 0.0000  6 Tb 3.57, 6 Y 3.58-3.59
Y 0.8334 0.1666 0.0000  6 Tb 3.56-3.57, 6 Y 3.58-3.59

Properties
Space group: C2/m

=====

(12)
Compound: YCdHg2
Source: Alexandria via LeMat-Bulk
Functional: GGA-PBE
Structure: relaxed

abc: 5.3232 5.3232 5.3232
angles: 125.99 125.99 79.91
Closest atoms and distances in Å follow each position.
Element x y z (fractional)
Y 0.0000 0.0000 0.0000  8 Hg 3.16-3.42, 4 Cd 3.16
Cd 0.2500 0.7500 0.5000  8 Hg 3.16-3.42, 4 Y 3.16
Hg 0.5000 0.5000 0.0000  4 Cd 3.16, 4 Hg 3.16, 4 Y 3.42
Hg 0.7500 0.2500 0.5000  4 Hg 3.16, 4 Y 3.16, 4 Cd 3.42

Properties
Space group: I-4m2

=====

Values for VASP energy, eV per atom, ordered as above
-4.00; -4.62; -10.49; -5.15; -3.19; -4.29; -6.49; -2.99; -3.73; -7.68; -5.10; -2.26
Values for total magnetization, μB/cell, ordered as above
0.00; 0.00; 0.00; 5.85; 0.00; 0.00; 0.00; 0.00; 0.00; 0.31; 0.00; 0.00